# Ni2MoW

Ni2MoW after structural relaxation (PBE, Alexandria). Values from VASP.

Values from the calculation:
* ΔH_f (0 K): 0.21 eV/atom
* total magnetization: 0.0000 μB per atom
* energy above the lowest structure with this stoichiometry: 20.7 kJ/mol of atoms

```
&SYSTEM
  ibrav = 0, nat = 4, ntyp = 3
/
ATOMIC_SPECIES
Ni 58.69 Ni.upf
Mo 95.94 Mo.upf
W 183.84 W.upf
ATOMIC_POSITIONS crystal
Ni 0.0000 0.5000 0.0000
Ni 0.5000 0.0000 0.0000
Mo 0.0000 0.0000 0.5000
W 0.5000 0.5000 0.5000
CELL_PARAMETERS angstrom
4.5563 0.0000 0.0000
0.0000 4.5563 0.0000
0.0000 0.0000 2.6105
```

# CaTl2Ag

CaTl2Ag after structural relaxation (PBE, Alexandria). Values from VASP.

Values from the calculation:
* ΔH_f (0 K): -0.16 eV/atom
* total magnetization: 0.0000 μB per atom

```
&SYSTEM
  ibrav = 0, nat = 4, ntyp = 3
/
ATOMIC_SPECIES
Ca 40.08 Ca.upf
Tl 204.38 Tl.upf
Ag 107.87 Ag.upf
ATOMIC_POSITIONS crystal
Ca 0.0000 0.0000 0.0000
Tl 0.0000 0.0000 0.5371
Tl 0.5000 0.5000 0.2657
Ag 0.5000 0.5000 0.7674
CELL_PARAMETERS angstrom
3.8805 0.0000 0.0000
0.0000 3.8805 0.0000
0.0000 0.0000 7.1209
```

# Y3CdO

Y3CdO after structural relaxation (PBE, Alexandria). Values from VASP.

Values from the calculation:
* total magnetization: 0.0000 μB per atom
* formation energy from raw total energies: -6.37 eV/f.u.
* energy above the lowest structure with this stoichiometry: 6.0 kJ/mol of atoms

```
&SYSTEM
  ibrav = 0, nat = 10, ntyp = 3
/
ATOMIC_SPECIES
Y 88.91 Y.upf
Cd 112.41 Cd.upf
O 16.00 O.upf
ATOMIC_POSITIONS crystal
Y 0.0000 0.0000 0.0000
Y 0.0005 0.5000 0.2784
Y 0.9995 0.5000 0.7216
Y 0.5004 0.0000 0.2153
Y 0.4996 0.0000 0.7847
Y 0.5000 0.5000 0.5000
Cd 0.0000 0.0000 0.5000
Cd 0.5000 0.5000 0.0000
O 0.0005 0.0000 0.1957
O 0.9995 0.0000 0.8043
CELL_PARAMETERS angstrom
5.1703 0.0000 0.0000
0.0000 4.0287 0.0000
-0.0030 0.0000 11.5704
```

# Ti2NbPb

Ti2NbPb after structural relaxation (PBE, Alexandria). Values from VASP.

Values from the calculation:
* ΔH_f (0 K): -0.05 eV/atom
* total magnetization: 0.0000 μB per atom

```
&SYSTEM
  ibrav = 0, nat = 4, ntyp = 3
/
ATOMIC_SPECIES
Ti 47.87 Ti.upf
Nb 92.91 Nb.upf
Pb 207.20 Pb.upf
ATOMIC_POSITIONS crystal
Ti 0.0000 0.5000 0.0000
Ti 0.5000 0.0000 0.0000
Nb 0.0000 0.0000 0.5000
Pb 0.5000 0.5000 0.5000
CELL_PARAMETERS angstrom
4.5038 0.0000 0.0000
0.0000 4.5038 0.0000
0.0000 0.0000 3.6618
```

# BeIr2I

BeIr2I after structural relaxation (PBE, Alexandria). Values from VASP.

Values from the calculation:
* total magnetization: 0.0000 μB per atom
* formation energy from raw total energies: 2.73 eV/f.u.
* energy above the lowest structure with this stoichiometry: 0.0 kJ/mol of atoms

```
&SYSTEM
  ibrav = 0, nat = 8, ntyp = 3
/
ATOMIC_SPECIES
Be 9.01 Be.upf
Ir 192.22 Ir.upf
I 126.90 I.upf
ATOMIC_POSITIONS crystal
Be 0.0000 0.0000 0.0000
Be 0.7500 0.2500 0.5000
Ir 0.0134 0.6250 0.8884
Ir 0.3750 0.2634 0.3884
Ir 0.7366 0.1250 0.1116
Ir 0.8750 0.9866 0.6116
I 0.2500 0.7500 0.5000
I 0.5000 0.5000 0.0000
CELL_PARAMETERS angstrom
-2.3144 2.3144 7.1305
2.3144 -2.3144 7.1305
2.3144 2.3144 -7.1305
```

# Tb3Y12Tl

Tb3Y12Tl after structural relaxation (PBE, Alexandria). Values from VASP.

Values from the calculation:
* ΔH_f (0 K): -0.02 eV/atom
* total magnetization: 0.0087 μB per atom

```
&SYSTEM
  ibrav = 0, nat = 16, ntyp = 3
/
ATOMIC_SPECIES
Tb 158.93 Tb.upf
Y 88.91 Y.upf
Tl 204.38 Tl.upf
ATOMIC_POSITIONS crystal
Tb 0.0000 0.0000 0.0000
Tb 0.0000 0.0000 0.2513
Tb 0.0000 0.0000 0.7487
Y 0.0000 0.5000 0.1265
Y 0.0000 0.5000 0.3788
Y 0.0000 0.5000 0.6212
Y 0.0000 0.5000 0.8735
Y 0.5000 0.0000 0.1265
Y 0.5000 0.0000 0.3788
Y 0.5000 0.0000 0.6212
Y 0.5000 0.0000 0.8735
Y 0.5000 0.5000 0.0000
Y 0.5000 0.5000 0.2558
Y 0.5000 0.5000 0.5000
Y 0.5000 0.5000 0.7442
Tl 0.0000 0.0000 0.5000
CELL_PARAMETERS angstrom
4.9815 0.0000 0.0000
0.0000 4.9815 0.0000
0.0000 0.0000 20.2939
```

# TbEr2Hf

TbEr2Hf after structural relaxation (PBE, Alexandria). Values from VASP.

Values from the calculation:
* ΔH_f (0 K): 0.10 eV/atom
* total magnetization: 0.0000 μB per atom
* energy above the lowest structure with this stoichiometry: 0.0 kJ/mol of atoms

```
&SYSTEM
  ibrav = 0, nat = 4, ntyp = 3
/
ATOMIC_SPECIES
Tb 158.93 Tb.upf
Er 167.26 Er.upf
Hf 178.49 Hf.upf
ATOMIC_POSITIONS crystal
Tb 0.0000 0.0000 0.0000
Er 0.2449 0.2449 0.2449
Er 0.4222 0.4222 0.4222
Hf 0.8338 0.8338 0.8338
CELL_PARAMETERS angstrom
1.7132 0.9891 11.1143
-1.7132 0.9891 11.1143
0.0000 -1.9782 11.1143
```

# AcNiPN

AcNiPN after structural relaxation (PBE, Alexandria). Values from VASP.

Values from the calculation:
* total magnetization: 0.0000 μB per atom
* formation energy from raw total energies: -4.23 eV/f.u.

```
&SYSTEM
  ibrav = 0, nat = 8, ntyp = 4
/
ATOMIC_SPECIES
Ac 227.00 Ac.upf
Ni 58.69 Ni.upf
P 30.97 P.upf
N 14.01 N.upf
ATOMIC_POSITIONS crystal
Ac 0.2500 0.2500 0.1737
Ac 0.7500 0.7500 0.8263
Ni 0.2500 0.7500 0.5000
Ni 0.7500 0.2500 0.5000
P 0.2500 0.2500 0.6422
P 0.7500 0.7500 0.3578
N 0.2500 0.2500 0.8548
N 0.7500 0.7500 0.1452
CELL_PARAMETERS angstrom
3.9358 0.0000 0.0000
0.0000 3.9358 0.0000
0.0000 0.0000 8.2006
```

# Pm8SmHo2

Pm8SmHo2 after structural relaxation (PBE, Alexandria). Values from VASP.

Values from the calculation:
* ΔH_f (0 K): 0.15 eV/atom
* total magnetization: 0.0000 μB per atom
* energy above the lowest structure with this stoichiometry: 13.1 kJ/mol of atoms

```
&SYSTEM
  ibrav = 0, nat = 11, ntyp = 3
/
ATOMIC_SPECIES
Pm 145.00 Pm.upf
Sm 150.36 Sm.upf
Ho 164.93 Ho.upf
ATOMIC_POSITIONS crystal
Pm 0.0448 0.0448 0.2367
Pm 0.1002 0.6348 0.2689
Pm 0.3122 0.3122 0.7695
Pm 0.3652 0.8998 0.7311
Pm 0.6348 0.1002 0.2689
Pm 0.6878 0.6878 0.2305
Pm 0.8998 0.3652 0.7311
Pm 0.9552 0.9552 0.7633
Sm 0.5000 0.5000 0.0000
Ho 0.2155 0.2155 0.2547
Ho 0.7845 0.7845 0.7453
CELL_PARAMETERS angstrom
9.6642 -3.5310 0.0000
9.6642 3.5310 0.0000
-0.3385 0.0000 5.6675
```

# CoSiRh2

CoSiRh2 after structural relaxation (PBE, Alexandria). Values from VASP.

Values from the calculation:
* total magnetization: 0.6344 μB per atom
* formation energy from raw total energies: -1.53 eV/f.u.

```
&SYSTEM
  ibrav = 0, nat = 4, ntyp = 3
/
ATOMIC_SPECIES
Co 58.93 Co.upf
Si 28.09 Si.upf
Rh 102.91 Rh.upf
ATOMIC_POSITIONS crystal
Co 0.0000 0.0000 0.0000
Si 0.0000 0.0000 0.5000
Rh 0.5000 0.5000 0.2759
Rh 0.5000 0.5000 0.7241
CELL_PARAMETERS angstrom
2.8199 0.0000 0.0000
0.0000 2.8199 0.0000
0.0000 0.0000 6.5401
```

# ZnPRuO2

ZnPRuO2 after structural relaxation (PBE, Alexandria). Values from VASP.

Values from the calculation:
* total magnetization: 0.1583 μB per atom
* formation energy from raw total energies: 2.27 eV/f.u.
* energy above the lowest structure with this stoichiometry: 77.1 kJ/mol of atoms

```
&SYSTEM
  ibrav = 0, nat = 5, ntyp = 4
/
ATOMIC_SPECIES
Zn 65.41 Zn.upf
P 30.97 P.upf
Ru 101.07 Ru.upf
O 16.00 O.upf
ATOMIC_POSITIONS crystal
Zn 0.0000 0.0000 0.0000
P 0.0000 0.0000 0.5000
Ru 0.5000 0.5000 0.5000
O 0.0000 0.5000 0.0000
O 0.5000 0.0000 0.0000
CELL_PARAMETERS angstrom
3.5746 0.0000 0.0000
0.0000 3.5746 0.0000
0.0000 0.0000 5.9276
```

# NaAs2Rh3

NaAs2Rh3 after structural relaxation (PBE, Alexandria). Values from VASP.

Values from the calculation:
* ΔH_f (0 K): -0.44 eV/atom
* total magnetization: 0.0000 μB per atom

```
&SYSTEM
  ibrav = 0, nat = 18, ntyp = 3
/
ATOMIC_SPECIES
Na 22.99 Na.upf
As 74.92 As.upf
Rh 102.91 Rh.upf
ATOMIC_POSITIONS crystal
Na 0.0000 0.0000 0.0000
Na 0.1633 0.1633 0.7044
Na 0.8367 0.8367 0.2956
As 0.1885 0.1885 0.1261
As 0.3606 0.3606 0.5413
As 0.4581 0.4581 0.2139
As 0.5419 0.5419 0.7861
As 0.6394 0.6394 0.4587
As 0.8115 0.8115 0.8739
Rh 0.0322 0.0322 0.3220
Rh 0.2135 0.2135 0.3955
Rh 0.3172 0.3172 0.0360
Rh 0.3792 0.3792 0.7937
Rh 0.5000 0.5000 0.5000
Rh 0.6208 0.6208 0.2063
Rh 0.6828 0.6828 0.9640
Rh 0.7865 0.7865 0.6045
Rh 0.9678 0.9678 0.6780
CELL_PARAMETERS angstrom
8.0983 -2.0012 0.0000
8.0983 2.0012 0.0000
-2.8985 0.0000 9.4099
```

# Er3AlCd

Er3AlCd after structural relaxation (PBE, Alexandria). Values from VASP.

Values from the calculation:
* ΔH_f (0 K): -0.10 eV/atom
* total magnetization: 0.0001 μB per atom
* energy above the lowest structure with this stoichiometry: 16.1 kJ/mol of atoms

```
&SYSTEM
  ibrav = 0, nat = 10, ntyp = 3
/
ATOMIC_SPECIES
Er 167.26 Er.upf
Al 26.98 Al.upf
Cd 112.41 Cd.upf
ATOMIC_POSITIONS crystal
Er 0.2500 0.0073 0.2227
Er 0.2500 0.2500 0.5663
Er 0.2500 0.4927 0.2227
Er 0.7500 0.5073 0.7773
Er 0.7500 0.7500 0.4337
Er 0.7500 0.9927 0.7773
Al 0.2500 0.7500 0.6301
Al 0.7500 0.2500 0.3699
Cd 0.2500 0.2500 0.9208
Cd 0.7500 0.7500 0.0792
CELL_PARAMETERS angstrom
4.7010 0.0000 0.0000
0.0000 6.6864 0.0000
0.0000 0.0000 8.9665
```

# FeP2SeS

FeP2SeS after structural relaxation (PBE, Alexandria). Values from VASP.

Values from the calculation:
* total magnetization: 0.2828 μB per atom
* formation energy from raw total energies: 2.58 eV/f.u.
* energy above the lowest structure with this stoichiometry: 0.0 kJ/mol of atoms

```
&SYSTEM
  ibrav = 0, nat = 5, ntyp = 4
/
ATOMIC_SPECIES
Fe 55.84 Fe.upf
P 30.97 P.upf
Se 78.96 Se.upf
S 32.06 S.upf
ATOMIC_POSITIONS crystal
Fe 0.0000 0.0000 0.0000
P 0.0000 0.5000 0.0000
P 0.5000 0.0000 0.0000
Se 0.5000 0.5000 0.5000
S 0.0000 0.0000 0.5000
CELL_PARAMETERS angstrom
4.5232 0.0000 0.0000
0.0000 4.5232 0.0000
0.0000 0.0000 4.1941
```

# NiHgHPb2

NiHgHPb2 after structural relaxation (PBE, Alexandria). Values from VASP.

Values from the calculation:
* DFT total energy: -15.739 eV/f.u.
* total magnetization: 0.0000 μB per atom

```
&SYSTEM
  ibrav = 0, nat = 5, ntyp = 4
/
ATOMIC_SPECIES
Ni 58.69 Ni.upf
Hg 200.59 Hg.upf
H 1.01 H.upf
Pb 207.20 Pb.upf
ATOMIC_POSITIONS crystal
Ni 0.0000 0.0000 0.0000
Hg 0.5000 0.5000 0.5000
H 0.0000 0.0000 0.5000
Pb 0.0000 0.5000 0.0000
Pb 0.5000 0.0000 0.0000
CELL_PARAMETERS angstrom
5.3571 0.0000 0.0000
0.0000 5.3571 0.0000
0.0000 0.0000 3.2290
```

# PmAg4Pt

PmAg4Pt after structural relaxation (PBE, Alexandria). Values from VASP.

Values from the calculation:
* ΔH_f (0 K): -0.21 eV/atom
* total magnetization: 0.0000 μB per atom

```
&SYSTEM
  ibrav = 0, nat = 6, ntyp = 3
/
ATOMIC_SPECIES
Pm 145.00 Pm.upf
Ag 107.87 Ag.upf
Pt 195.08 Pt.upf
ATOMIC_POSITIONS crystal
Pm 0.0000 0.0000 0.0000
Ag 0.3755 0.3755 0.3755
Ag 0.3755 0.3755 0.8736
Ag 0.3755 0.8736 0.3755
Ag 0.8736 0.3755 0.3755
Pt 0.7500 0.7500 0.7500
CELL_PARAMETERS angstrom
0.0000 3.8864 3.8864
3.8864 0.0000 3.8864
3.8864 3.8864 0.0000
```

# ErMgAgAu

ErMgAgAu after structural relaxation (PBE, Alexandria). Values from VASP.

Values from the calculation:
* ΔH_f (0 K): -0.55 eV/atom
* total magnetization: 0.0000 μB per atom

```
&SYSTEM
  ibrav = 0, nat = 4, ntyp = 4
/
ATOMIC_SPECIES
Er 167.26 Er.upf
Mg 24.30 Mg.upf
Ag 107.87 Ag.upf
Au 196.97 Au.upf
ATOMIC_POSITIONS crystal
Er 0.0000 0.0000 0.0000
Mg 0.5000 0.5000 0.5000
Ag 0.2500 0.2500 0.2500
Au 0.7500 0.7500 0.7500
CELL_PARAMETERS angstrom
0.0000 3.4603 3.4603
3.4603 0.0000 3.4603
3.4603 3.4603 0.0000
```

# LaPmPd4

LaPmPd4 after structural relaxation (PBE, Alexandria). Values from VASP.

Values from the calculation:
* ΔH_f (0 K): -0.78 eV/atom
* total magnetization: 0.0000 μB per atom
* energy above the lowest structure with this stoichiometry: 2.6 kJ/mol of atoms

```
&SYSTEM
  ibrav = 0, nat = 6, ntyp = 3
/
ATOMIC_SPECIES
La 138.91 La.upf
Pm 145.00 Pm.upf
Pd 106.42 Pd.upf
ATOMIC_POSITIONS crystal
La 0.0000 0.0000 0.0000
Pm 0.7500 0.7500 0.7500
Pd 0.3752 0.3752 0.3752
Pd 0.3752 0.3752 0.8744
Pd 0.3752 0.8744 0.3752
Pd 0.8744 0.3752 0.3752
CELL_PARAMETERS angstrom
0.0000 3.9206 3.9206
3.9206 0.0000 3.9206
3.9206 3.9206 0.0000
```

# TlNi4Se

TlNi4Se after structural relaxation (PBE, Alexandria). Values from VASP.

Values from the calculation:
* total magnetization: 0.2371 μB per atom
* formation energy from raw total energies: 1.97 eV/f.u.

```
&SYSTEM
  ibrav = 0, nat = 6, ntyp = 3
/
ATOMIC_SPECIES
Tl 204.38 Tl.upf
Ni 58.69 Ni.upf
Se 78.96 Se.upf
ATOMIC_POSITIONS crystal
Tl 0.0000 0.0000 0.0000
Ni 0.1266 0.6245 0.6245
Ni 0.6245 0.1266 0.6245
Ni 0.6245 0.6245 0.1266
Ni 0.6245 0.6245 0.6245
Se 0.2500 0.2500 0.2500
CELL_PARAMETERS angstrom
0.0000 3.5037 3.5037
3.5037 0.0000 3.5037
3.5037 3.5037 0.0000
```